Here is an optimized crystal structure of AcY2HoS4 from Alexandria. Energies are from PBE.

abc: 3.9607 6.9469 7.0308
angles: 71.17 90.00 90.00
With the nearest neighbours (Å) after each atom.
Fractional coordinates of all 8 atoms:
1 Ac 0.5000 0.5000 0.0000  6 S 2.95
2 Y 0.0000 0.0000 0.0000  6 S 2.86-2.87
3 Y 0.5000 0.0000 0.5000  6 S 2.73-2.74
4 Ho 0.0000 0.5000 0.5000  6 S 2.82-2.83
5 S 0.0000 0.7677 0.7291  3 Y 2.73-2.87, 1 Ho 2.83, 2 Ac 2.95
6 S 0.0000 0.2323 0.2709  3 Y 2.73-2.87, 1 Ho 2.83, 2 Ac 2.95
7 S 0.5000 0.7561 0.2623  3 Y 2.74-2.86, 2 Ho 2.82, 1 Ac 2.95
8 S 0.5000 0.2439 0.7377  3 Y 2.74-2.86, 2 Ho 2.82, 1 Ac 2.95

Results
As for the crystal system: monoclinic. As for the space group: No. 10. The value obtained for the formation energy without anion corrections is -1.950 eV/atom. For the total magnetization, the calculation gives 0.00 μB/f.u.



Here is an optimized crystal structure of Ac2YHoS4 from Alexandria. Energies are from PBE.

abc: 3.9955 6.9538 7.4015
angles: 108.14 90.00 90.00
With the nearest neighbours (Å) after each atom.
Fractional coordinates of all 8 atoms:
1 Ac 0.5000 0.0000 0.5000  6 S 3.06
2 Ac 0.0000 0.5000 0.5000  6 S 3.04-3.05
3 Y 0.0000 0.0000 0.0000  6 S 2.77-2.78
4 Ho 0.5000 0.5000 0.0000  6 S 2.76-2.77
5 S 0.5000 0.2403 0.2175  1 Ho 2.77, 2 Y 2.77, 3 Ac 3.05-3.06
6 S 0.5000 0.7597 0.7825  1 Ho 2.77, 2 Y 2.77, 3 Ac 3.05-3.06
7 S 0.0000 0.2632 0.7835  2 Ho 2.76, 1 Y 2.78, 3 Ac 3.04-3.06
8 S 0.0000 0.7368 0.2165  2 Ho 2.76, 1 Y 2.78, 3 Ac 3.04-3.06

Results
As for the crystal system: monoclinic. As for the space group: No. 10. The value obtained for the formation energy without anion corrections is -1.987 eV/atom. For the total magnetization, the calculation gives 0.00 μB/f.u.